Model a:
The following is a GGA+U calculation of an optimized crystal structure of CaFe2O4, from Alexandria via LeMat-Bulk.

```
data_CaFe2O4
_symmetry_space_group_name_H-M 'P 1'
_symmetry_Int_Tables_number 1
_cell_length_a 6.265
_cell_length_b 6.265
_cell_length_c 15.334
_cell_angle_alpha 90.00
_cell_angle_beta 90.00
_cell_angle_gamma 120.00
loop_
_symmetry_equiv_pos_as_xyz
'x,y,z'
loop_
_atom_site_label
_atom_site_type_symbol
_atom_site_fract_x
_atom_site_fract_y
_atom_site_fract_z
O1 O 0.194 0.806 0.749
O2 O 0.859 0.719 0.416
O3 O 0.138 0.862 0.247
O4 O 0.138 0.276 0.247
O5 O 0.000 0.000 0.079
O6 O 0.472 0.528 0.588
O7 O 0.281 0.141 0.416
O8 O 0.333 0.667 0.897
O9 O 0.611 0.806 0.749
O10 O 0.514 0.028 0.104
O11 O 0.194 0.389 0.749
O12 O 0.667 0.333 0.238
O13 O 0.472 0.944 0.588
O14 O 0.514 0.486 0.104
O15 O 0.834 0.668 0.902
O16 O 0.972 0.486 0.104
O17 O 0.667 0.333 0.771
O18 O 0.834 0.166 0.902
O19 O 0.056 0.528 0.588
O20 O 0.000 0.000 0.560
O21 O 0.332 0.166 0.902
O22 O 0.724 0.862 0.247
O23 O 0.859 0.141 0.416
O24 O 0.333 0.667 0.438
Fe1 Fe 0.166 0.332 0.497
Fe2 Fe 0.831 0.169 0.172
Fe3 Fe 0.000 0.000 0.335
Fe4 Fe 0.166 0.834 0.497
Fe5 Fe 0.496 0.993 0.830
Fe6 Fe 0.668 0.834 0.497
Fe7 Fe 0.000 0.000 0.953
Fe8 Fe 0.333 0.667 0.664
Fe9 Fe 0.831 0.663 0.172
Fe10 Fe 0.007 0.504 0.830
Fe11 Fe 0.337 0.169 0.172
Fe12 Fe 0.496 0.504 0.830
Ca1 Ca 0.667 0.333 0.378
Ca2 Ca 0.667 0.333 0.626
Ca3 Ca 0.333 0.667 0.291
Ca4 Ca 0.000 0.000 0.703
Ca5 Ca 0.667 0.333 0.004
Ca6 Ca 0.333 0.667 0.045
```

Results
Symmetry: P3m1, No. 156

---

Model b:
The following is a GGA+U calculation of an optimized crystal structure of CaFe2O4, from Alexandria via LeMat-Bulk.

```
data_CaFe2O4
_symmetry_space_group_name_H-M 'P 1'
_symmetry_Int_Tables_number 1
_cell_length_a 5.333
_cell_length_b 5.333
_cell_length_c 3.491
_cell_angle_alpha 90.00
_cell_angle_beta 90.00
_cell_angle_gamma 90.00
loop_
_symmetry_equiv_pos_as_xyz
'x,y,z'
loop_
_atom_site_label
_atom_site_type_symbol
_atom_site_fract_x
_atom_site_fract_y
_atom_site_fract_z
Ca1 Ca 0.500 0.500 0.500
O1 O 0.266 0.266 0.000
O2 O 0.734 0.734 0.000
O3 O 0.734 0.266 0.000
O4 O 0.266 0.734 0.000
Fe1 Fe 0.500 0.000 0.000
Fe2 Fe 0.000 0.500 0.000
```

Results
Symmetry: P4/mmm, No. 123

---

Model c:
The following is a GGA+U calculation of an optimized crystal structure of CaFe2O4, from Alexandria via LeMat-Bulk.

```
data_CaFe2O4
_symmetry_space_group_name_H-M 'P 1'
_symmetry_Int_Tables_number 1
_cell_length_a 5.237
_cell_length_b 5.237
_cell_length_c 10.128
_cell_angle_alpha 90.00
_cell_angle_beta 90.00
_cell_angle_gamma 146.00
loop_
_symmetry_equiv_pos_as_xyz
'x,y,z'
loop_
_atom_site_label
_atom_site_type_symbol
_atom_site_fract_x
_atom_site_fract_y
_atom_site_fract_z
O1 O 0.500 0.500 0.000
O2 O 0.500 0.500 0.500
O3 O 0.940 0.060 0.250
O4 O 0.232 0.768 0.392
O5 O 0.060 0.940 0.750
O6 O 0.768 0.232 0.892
O7 O 0.768 0.232 0.608
O8 O 0.232 0.768 0.108
Fe1 Fe 0.865 0.135 0.429
Fe2 Fe 0.865 0.135 0.071
Fe3 Fe 0.135 0.865 0.929
Fe4 Fe 0.135 0.865 0.571
Ca1 Ca 0.610 0.390 0.250
Ca2 Ca 0.390 0.610 0.750
```

Results
Symmetry: Cmcm, No. 63

---

Model d:
The following is a GGA+U calculation of an optimized crystal structure of CaFe2O4, from Alexandria via LeMat-Bulk.

```
data_CaFe2O4
_symmetry_space_group_name_H-M 'P 1'
_symmetry_Int_Tables_number 1
_cell_length_a 6.888
_cell_length_b 6.888
_cell_length_c 9.284
_cell_angle_alpha 54.60
_cell_angle_beta 54.60
_cell_angle_gamma 26.13
loop_
_symmetry_equiv_pos_as_xyz
'x,y,z'
loop_
_atom_site_label
_atom_site_type_symbol
_atom_site_fract_x
_atom_site_fract_y
_atom_site_fract_z
Fe1 Fe 0.873 0.873 0.463
Fe2 Fe 0.642 0.642 0.168
Fe3 Fe 0.358 0.358 0.832
Fe4 Fe 0.127 0.127 0.537
O1 O 0.243 0.243 0.617
O2 O 0.757 0.757 0.383
O3 O 0.534 0.534 0.711
O4 O 0.466 0.466 0.289
O5 O 0.832 0.832 0.999
O6 O 0.168 0.168 0.001
O7 O 0.871 0.871 0.689
O8 O 0.129 0.129 0.311
Ca1 Ca 0.654 0.654 0.831
Ca2 Ca 0.346 0.346 0.169
```

Results
Symmetry: C2/m, No. 12

---

On energetic grounds, model c is preferred over the next structure by 154 meV/atom.